Record 1
This record from the Alexandria database describes a relaxed structure of Ba3Pd6Pb5. The functional is GGA-PBE.

Cell lengths 4.8539, 9.1091, 9.1091 Å; angles 72.67, 74.55, 74.55 degrees
With the nearest neighbours (Å) after each atom.
Fractional positions:
1 Pb 0.6728 0.6594 0.9949  4 Pd 2.83-3.01
2 Pb 0.3272 0.3406 0.0051  4 Pd 2.83-3.01
3 Pb 0.0000 0.5000 0.5000  8 Pd 2.86-3.16
4 Pb 0.6728 0.9949 0.6594  4 Pd 2.83-3.01
5 Pb 0.3272 0.0051 0.3406  4 Pd 2.83-3.01
6 Pd 0.8864 0.3921 0.8350  4 Pb 2.83-3.01, 3 Pd 2.91-3.15
7 Pd 0.5000 0.6881 0.3119  4 Pb 2.86-3.16, 4 Pd 2.91
8 Pd 0.8864 0.8350 0.3921  4 Pb 2.83-3.01, 3 Pd 2.91-3.15
9 Pd 0.1136 0.6079 0.1650  4 Pb 2.83-3.01, 3 Pd 2.91-3.15
10 Pd 0.1136 0.1650 0.6079  4 Pb 2.83-3.01, 3 Pd 2.91-3.15
11 Pd 0.5000 0.3119 0.6881  4 Pb 2.86-3.16, 4 Pd 2.91
12 Ba 0.6909 0.3091 0.3091  6 Pd 3.33-3.57, 8 Pb 3.57-3.60
13 Ba 0.0000 0.0000 0.0000  4 Pd 3.39
14 Ba 0.3091 0.6909 0.6909  6 Pd 3.33-3.57, 8 Pb 3.57-3.60

Record 2
This record from the Alexandria database describes a relaxed structure of Ba2Pd3Pb5. The functional is GGA-PBE.

Cell lengths 7.0193, 9.7478, 9.7478 Å; angles 73.02, 68.90, 68.90 degrees
With the nearest neighbours (Å) after each atom.
Fractional positions:
1 Ba 0.3627 0.8816 0.3929  10 Pb 3.51-3.89, 3 Pd 3.64-3.81
2 Ba 0.6373 0.1184 0.6071  10 Pb 3.51-3.89, 3 Pd 3.64-3.81
3 Ba 0.8627 0.3929 0.8816  10 Pb 3.51-3.89, 3 Pd 3.64-3.81
4 Ba 0.1373 0.6071 0.1184  10 Pb 3.51-3.89, 3 Pd 3.64-3.81
5 Pb 0.9029 0.9494 0.2447  3 Pd 2.76-2.80
6 Pb 0.9953 0.7547 0.7547  2 Pd 2.83
7 Pb 0.4029 0.2447 0.9494  3 Pd 2.76-2.80
8 Pb 0.4953 0.7547 0.7547  2 Pd 2.83
9 Pb 0.0971 0.0506 0.7553  3 Pd 2.76-2.80
10 Pb 0.0047 0.2453 0.2453  2 Pd 2.83
11 Pb 0.2500 0.5000 0.5000  4 Pd 2.87
12 Pb 0.5971 0.7553 0.0506  3 Pd 2.76-2.80
13 Pb 0.5047 0.2453 0.2453  2 Pd 2.83
14 Pb 0.7500 0.5000 0.5000  4 Pd 2.87
15 Pd 0.2500 0.0000 0.0000  4 Pb 2.80
16 Pd 0.7500 0.0000 0.0000  4 Pb 2.80
17 Pd 0.6296 0.4880 0.2529  5 Pb 2.76-2.87
18 Pd 0.3704 0.5120 0.7471  5 Pb 2.76-2.87
19 Pd 0.8704 0.7471 0.5120  5 Pb 2.76-2.87
20 Pd 0.1296 0.2529 0.4880  5 Pb 2.76-2.87

Record 3
This record from the Alexandria database describes a relaxed structure of BaPd4Pb8. The functional is GGA-PBE.

Cell lengths 6.2642, 7.9562, 7.9562 Å; angles 81.08, 66.82, 66.82 degrees
With the nearest neighbours (Å) after each atom.
Fractional positions:
1 Pb 0.2803 0.2197 0.2197  4 Pd 3.04, 6 Pb 3.21-3.37
2 Pb 0.6588 0.3412 0.3412  4 Pd 3.17, 5 Pb 3.28-3.37, 1 Ba 3.53
3 Pb 0.3412 0.6588 0.6588  4 Pd 3.17, 5 Pb 3.28-3.37, 1 Ba 3.53
4 Pb 0.0000 0.6588 0.3412  4 Pd 3.17, 5 Pb 3.28-3.37, 1 Ba 3.53
5 Pb 0.7197 0.7803 0.7803  4 Pd 3.04, 6 Pb 3.21-3.37
6 Pb 0.0000 0.3412 0.6588  4 Pd 3.17, 5 Pb 3.28-3.37, 1 Ba 3.53
7 Pb 0.5000 0.7803 0.2197  4 Pd 3.04, 6 Pb 3.21-3.37
8 Pb 0.5000 0.2197 0.7803  4 Pd 3.04, 6 Pb 3.21-3.37
9 Pd 0.5000 0.0000 0.5000  8 Pb 3.04-3.17, 2 Pd 3.13
10 Pd 0.5000 0.5000 0.0000  8 Pb 3.04-3.17, 2 Pd 3.13
11 Pd 0.0000 0.5000 0.0000  8 Pb 3.04-3.17, 2 Pd 3.13
12 Pd 0.0000 0.0000 0.5000  8 Pb 3.04-3.17, 2 Pd 3.13
13 Ba 0.0000 0.0000 0.0000  12 Pb 3.53-3.87

Record 4
This record from the Alexandria database describes a relaxed structure of Ba2PdPb3. The functional is GGA-PBE.

Cell lengths 7.0384, 7.0384, 10.0129 Å; angles 110.67, 110.67, 89.83 degrees
With the nearest neighbours (Å) after each atom.
Fractional positions:
1 Ba 0.7501 0.2499 0.5000  8 Pb 3.75-3.76, 4 Pd 3.79-3.80
2 Ba 0.7503 0.2497 0.0000  10 Pb 3.75-3.92, 2 Pd 3.83
3 Ba 0.2499 0.7501 0.5000  8 Pb 3.75-3.76, 4 Pd 3.79-3.80
4 Ba 0.2497 0.7503 0.0000  10 Pb 3.75-3.92, 2 Pd 3.83
5 Pb 0.8244 0.8244 0.1747  1 Pd 2.75, 2 Pb 3.03
6 Pb 0.6496 0.6496 0.8252  1 Pd 2.75, 2 Pb 3.03
7 Pb 0.1747 0.1747 0.3492  1 Pd 2.73, 2 Pb 3.03
8 Pb 0.3504 0.3504 0.1748  1 Pd 2.75, 2 Pb 3.03
9 Pb 0.1756 0.1756 0.8253  1 Pd 2.75, 2 Pb 3.03
10 Pb 0.8253 0.8253 0.6508  1 Pd 2.73, 2 Pb 3.03
11 Pd 0.6681 0.6681 0.3361  3 Pb 2.73-2.75
12 Pd 0.3319 0.3319 0.6639  3 Pb 2.73-2.75

no.,formation energy (eV per atom)
1,-0.486
2,-0.470
3,-0.211
4,-0.479